# 1
! Sm2Dy3Er6Zr (PBE-GGA, relaxed); values from VASP
! Space-group type: No. 12
! Fermi-level density of states (states/eV/f.u.): 15.1
! Formation energy from the elements (eV/atom): 0.048
! Volume (A^3/atom): 30.38
! Crystal system: monoclinic
&SYSTEM
  ibrav = 0, nat = 12, ntyp = 4
/
ATOMIC_SPECIES
Sm 150.36 Sm.upf
Dy 162.50 Dy.upf
Er 167.26 Er.upf
Zr 91.22 Zr.upf
CELL_PARAMETERS angstrom
3.038 -5.255 0.000
3.038 5.255 0.000
-2.014 0.000 11.418
ATOMIC_POSITIONS crystal
Sm 0.167 0.833 0.000
Sm 0.833 0.167 0.000
Dy 0.000 0.000 0.500
Dy 0.334 0.666 0.500
Dy 0.666 0.334 0.500
Er 0.091 0.418 0.753
Er 0.256 0.256 0.246
Er 0.418 0.091 0.753
Er 0.582 0.909 0.247
Er 0.744 0.744 0.754
Er 0.909 0.582 0.247
Zr 0.500 0.500 0.000

***

# 2
! Dy2ErSn (PBE-GGA, relaxed); values from VASP
! Space-group type: No. 11
! Fermi-level density of states (states/eV/f.u.): 4.6
! Formation energy from the elements (eV/atom): -0.377
! Volume (A^3/atom): 29.51
! Crystal system: monoclinic
! Energy above the most stable polymorph in this dataset (eV/atom): 0.035
&SYSTEM
  ibrav = 0, nat = 8, ntyp = 3
/
ATOMIC_SPECIES
Dy 162.50 Dy.upf
Er 167.26 Er.upf
Sn 118.71 Sn.upf
CELL_PARAMETERS angstrom
4.582 0.000 0.000
0.000 4.608 0.000
-2.295 0.000 11.182
ATOMIC_POSITIONS crystal
Dy 0.063 0.250 0.125
Dy 0.436 0.250 0.872
Dy 0.564 0.750 0.128
Dy 0.937 0.750 0.875
Er 0.193 0.750 0.386
Er 0.807 0.250 0.614
Sn 0.332 0.750 0.664
Sn 0.668 0.250 0.336

***

# 3
! DyEr5Sn4 (PBE-GGA, relaxed); values from VASP
! Space-group type: No. 12
! Fermi-level density of states (states/eV/f.u.): 10.5
! Formation energy from the elements (eV/atom): -0.383
! Volume (A^3/atom): 30.06
! Crystal system: monoclinic
&SYSTEM
  ibrav = 0, nat = 10, ntyp = 3
/
ATOMIC_SPECIES
Dy 162.50 Dy.upf
Er 167.26 Er.upf
Sn 118.71 Sn.upf
CELL_PARAMETERS angstrom
8.798 -2.235 0.000
8.798 2.235 0.000
-1.525 0.000 7.643
ATOMIC_POSITIONS crystal
Dy 0.000 0.000 0.000
Er 0.000 0.000 0.500
Er 0.292 0.292 0.687
Er 0.361 0.361 0.272
Er 0.639 0.639 0.728
Er 0.708 0.708 0.313
Sn 0.188 0.188 0.017
Sn 0.463 0.463 0.724
Sn 0.537 0.537 0.276
Sn 0.812 0.812 0.983